1.
Computed, not measured: crystalline Os2Ru3 at its relaxed geometry at the GGA-PBE level of DFT.

## Properties
energy above the lowest structure with this stoichiometry: 0.019 eV/atom
magnetization: 0.00 Bohr magnetons per cell
E: -9.8153 eV/atom
space group: Fdd2 (43)
crystal system: orthorhombic

```
Os2Ru3
1.0
0.000 11.784 1.365
4.474 0.000 1.365
4.474 11.784 0.000
Os Ru
4 6
Direct
0.277 0.723 0.319
0.569 0.931 0.527
0.723 0.277 0.681
0.931 0.569 0.973
0.093 0.993 0.599
0.308 0.308 0.692
0.558 0.558 0.942
0.651 0.935 0.157
0.935 0.651 0.257
0.993 0.093 0.315
```

=====

2.
Computed, not measured: crystalline Os3Ru at its relaxed geometry at the GGA-PBE level of DFT.

## Properties
magnetization: 0.00 Bohr magnetons per cell
E: -10.1571 eV/atom
space group: Pm-3n (223)
crystal system: cubic

```
Os3Ru
1.0
4.900 0.000 0.000
0.000 4.900 0.000
0.000 0.000 4.900
Os Ru
6 2
Direct
0.000 0.250 0.500
0.000 0.750 0.500
0.250 0.500 0.000
0.500 0.000 0.250
0.500 0.000 0.750
0.750 0.500 0.000
0.000 0.000 0.000
0.500 0.500 0.500
```

=====

Formation energy from the elements, respectively: 242; 584 meV/atom.